# 1
A plane-wave DFT calculation with PBEsol was carried out for a geometry-optimized Sc2TiHgSe structure.

Cell and atoms, written as POSCAR:
```
Sc2TiHgSe
1.0
4.8905 0.0000 0.0000
0.0000 4.8905 0.0000
0.0000 0.0000 5.1313
Sc Ti Hg Se
2 1 1 1
direct
0.0000 0.5000 0.0000 Sc
0.5000 0.0000 0.0000 Sc
0.0000 0.0000 0.5000 Ti
0.5000 0.5000 0.5000 Hg
0.5000 0.5000 0.0000 Se
```

Output
E_form (uncorrected)	0.166	eV/atom
SG	P4/mmm, No. 123



# 2
A plane-wave DFT calculation with PBEsol was carried out for a geometry-optimized Sc2SiHg structure.

Cell and atoms, written as POSCAR:
```
Sc2SiHg
1.0
3.0638 0.0000 0.0000
0.0000 3.0638 0.0000
0.0000 0.0000 7.9466
Sc Si Hg
2 1 1
direct
0.0000 0.0000 0.2280 Sc
0.0000 0.0000 0.7720 Sc
0.5000 0.5000 0.0000 Si
0.5000 0.5000 0.5000 Hg
```

Output
E_form (uncorrected)	-0.561	eV/atom
SG	P4/mmm, No. 123



# 3
A plane-wave DFT calculation with PBEsol was carried out for a geometry-optimized ScSnHg2Te structure.

Cell and atoms, written as POSCAR:
```
ScSnHg2Te
1.0
5.3071 0.0000 0.0000
0.0000 5.3071 0.0000
0.0000 0.0000 5.6584
Sc Sn Hg Te
1 1 2 1
direct
0.0000 0.0000 0.0000 Sc
0.0000 0.0000 0.5000 Sn
0.0000 0.5000 0.0000 Hg
0.5000 0.0000 0.0000 Hg
0.5000 0.5000 0.5000 Te
```

Output
E_form (uncorrected)	0.364	eV/atom
SG	P4/mmm, No. 123



# 4
A plane-wave DFT calculation with PBEsol was carried out for a geometry-optimized SrSc4Hg structure.

Cell and atoms, written as POSCAR:
```
SrSc4Hg
1.0
0.0000 4.2692 4.2692
4.2692 0.0000 4.2692
4.2692 4.2692 0.0000
Sr Sc Hg
1 4 1
direct
0.0000 0.0000 0.0000 Sr
0.1290 0.6237 0.6237 Sc
0.6237 0.1290 0.6237 Sc
0.6237 0.6237 0.1290 Sc
0.6237 0.6237 0.6237 Sc
0.2500 0.2500 0.2500 Hg
```

Output
ΔE_f	0.24	eV per atom
SG	F-43m, No. 216



# 5
A plane-wave DFT calculation with PBEsol was carried out for a geometry-optimized ScTcHg2 structure.

Cell and atoms, written as POSCAR:
```
ScTcHg2
1.0
0.0000 3.3131 3.3131
3.3131 0.0000 3.3131
3.3131 3.3131 0.0000
Sc Tc Hg
1 1 2
direct
0.0000 0.0000 0.0000 Sc
0.5000 0.5000 0.5000 Tc
0.2500 0.2500 0.2500 Hg
0.7500 0.7500 0.7500 Hg
```

Output
ΔE_f	0.09	eV per atom
E above lowest polymorph	137.8	meV/atom
SG	Fm-3m, No. 225



# 6
A plane-wave DFT calculation with PBEsol was carried out for a geometry-optimized ScTcHg2 structure.

Cell and atoms, written as POSCAR:
```
ScTcHg2
1.0
2.9895 0.0000 0.0000
0.0000 2.9895 0.0000
0.0000 0.0000 8.1330
Sc Tc Hg
1 1 2
direct
0.0000 0.0000 0.0000 Sc
0.0000 0.0000 0.5000 Tc
0.5000 0.5000 0.2598 Hg
0.5000 0.5000 0.7402 Hg
```

Output
ΔE_f	0.15	eV per atom
E above lowest polymorph	192.5	meV/atom
SG	P4/mmm, No. 123



# 7
A plane-wave DFT calculation with PBEsol was carried out for a geometry-optimized ScTc3Hg structure.

Cell and atoms, written as POSCAR:
```
ScTc3Hg
1.0
4.8427 0.0000 0.0000
0.0000 4.8427 0.0000
0.0000 0.0000 4.8427
Sc Tc Hg
1 3 1
direct
0.0000 0.0000 0.0000 Sc
0.0000 0.5000 0.5000 Tc
0.5000 0.0000 0.5000 Tc
0.5000 0.5000 0.0000 Tc
0.5000 0.5000 0.5000 Hg
```

Output
ΔE_f	2.28	eV per atom
SG	Pm-3m, No. 221



# 8
A plane-wave DFT calculation with PBEsol was carried out for a geometry-optimized ScTcHg2 structure.

Cell and atoms, written as POSCAR:
```
ScTcHg2
1.0
-2.0369 2.0369 4.3113
2.0369 -2.0369 4.3113
2.0369 2.0369 -4.3113
Sc Tc Hg
1 1 2
direct
0.0000 0.0000 0.0000 Sc
0.5000 0.5000 0.0000 Tc
0.2500 0.7500 0.5000 Hg
0.7500 0.2500 0.5000 Hg
```

Output
ΔE_f	-0.04	eV per atom
E above lowest polymorph	0.0	meV/atom
SG	I4/mmm, No. 139



# 9
A plane-wave DFT calculation with PBEsol was carried out for a geometry-optimized ScTcHg2 structure.

Cell and atoms, written as POSCAR:
```
ScTcHg2
1.0
1.7499 -2.3660 0.0000
1.7499 2.3660 0.0000
0.0000 0.0000 9.0846
Sc Tc Hg
1 1 2
direct
0.0000 0.0000 0.0000 Sc
0.5000 0.5000 0.2135 Tc
0.0000 0.0000 0.4568 Hg
0.5000 0.5000 0.7349 Hg
```

Output
ΔE_f	0.10	eV per atom
E above lowest polymorph	139.7	meV/atom
SG	Cmm2, No. 35



# 10
A plane-wave DFT calculation with PBEsol was carried out for a geometry-optimized ScTcHg2 structure.

Cell and atoms, written as POSCAR:
```
ScTcHg2
1.0
0.0000 3.3175 3.3175
3.3175 0.0000 3.3175
3.3175 3.3175 0.0000
Sc Tc Hg
1 1 2
direct
0.0000 0.0000 0.0000 Sc
0.2500 0.2500 0.2500 Tc
0.5000 0.5000 0.5000 Hg
0.7500 0.7500 0.7500 Hg
```

Output
ΔE_f	0.21	eV per atom
E above lowest polymorph	252.0	meV/atom
SG	F-43m, No. 216



# 11
A plane-wave DFT calculation with PBEsol was carried out for a geometry-optimized ScTcHg2 structure.

Cell and atoms, written as POSCAR:
```
ScTcHg2
1.0
-2.0429 2.0429 4.3362
2.0429 -2.0429 4.3362
2.0429 2.0429 -4.3362
Sc Tc Hg
1 1 2
direct
0.0000 0.0000 0.0000 Sc
0.7500 0.2500 0.5000 Tc
0.2500 0.7500 0.5000 Hg
0.5000 0.5000 0.0000 Hg
```

Output
ΔE_f	0.04	eV per atom
E above lowest polymorph	78.4	meV/atom
SG	I-4m2, No. 119



# 12
A plane-wave DFT calculation with PBEsol was carried out for a geometry-optimized ScZnTc2Hg structure.

Cell and atoms, written as POSCAR:
```
ScZnTc2Hg
1.0
4.9599 0.0000 0.0000
0.0000 4.9599 0.0000
0.0000 0.0000 4.5852
Sc Zn Tc Hg
1 1 2 1
direct
0.0000 0.0000 0.0000 Sc
0.5000 0.5000 0.0000 Zn
0.0000 0.5000 0.5000 Tc
0.5000 0.0000 0.5000 Tc
0.5000 0.5000 0.5000 Hg
```

Output
ΔE_f	1.65	eV per atom
SG	P4/mmm, No. 123